Entry 1:
Below is a relaxed structure of Be2ZnAu7, with properties calculated at the PBE level.

Summary:
DFT formation energy, eV per atom: -0.11

Lattice parameters (Å, degrees): 4.0794 4.0794 10.3112 101.41 101.41 90.00
Last column: nearest neighbours and their distance in Å.
Element x y z (fractional)
Au 0.6058 0.1058 0.2117  2 Be 2.48
Au 0.8942 0.3942 0.7883  2 Be 2.48
Be 0.6767 0.6767 0.3535  8 Au 2.48-2.50
Au 0.1058 0.6058 0.2117  2 Be 2.48
Au 0.2500 0.7500 0.5000  4 Be 2.50
Au 0.5000 0.5000 0.0000  4 Zn 2.88, 8 Au 2.92
Be 0.3233 0.3233 0.6465  8 Au 2.48-2.50
Au 0.7500 0.2500 0.5000  4 Be 2.50
Zn 0.0000 0.0000 0.0000  12 Au 2.88-2.92
Au 0.3942 0.8942 0.7883  2 Be 2.48

Entry 2:
Below is a relaxed structure of Tm2AgRu, with properties calculated at the PBE level.

Summary:
DFT formation energy, eV per atom: -0.47

Lattice parameters (Å, degrees): 3.3755 3.3755 7.4213 90.00 90.00 90.00
Last column: nearest neighbours and their distance in Å.
Element x y z (fractional)
Ru 0.5000 0.5000 0.0000  8 Tm 2.90
Tm 0.0000 0.0000 0.2213  4 Ru 2.90, 4 Ag 3.16
Tm 0.0000 0.0000 0.7787  4 Ru 2.90, 4 Ag 3.16
Ag 0.5000 0.5000 0.5000  8 Tm 3.16, 4 Ag 3.38

Entry 3:
Below is a relaxed structure of Zn4CuTc, with properties calculated at the PBE level.

Summary:
DFT formation energy, eV per atom: 0.24

Lattice parameters (Å, degrees): 4.9303 4.9303 4.9303 60.00 60.00 60.00
Last column: nearest neighbours and their distance in Å.
Element x y z (fractional)
Zn 0.8763 0.3746 0.3746  6 Zn 2.46-2.47
Tc 0.0000 0.0000 0.0000  12 Zn 2.89, 4 Cu 3.02
Zn 0.3746 0.8763 0.3746  6 Zn 2.46-2.47
Zn 0.3746 0.3746 0.8763  6 Zn 2.46-2.47
Cu 0.7500 0.7500 0.7500  12 Zn 2.89, 4 Tc 3.02
Zn 0.3746 0.3746 0.3746  6 Zn 2.46-2.47

Entry 4:
Below is a relaxed structure of NdDyBiAs, with properties calculated at the PBE level.

Summary:
DFT formation energy, eV per atom: -1.19

Lattice parameters (Å, degrees): 4.3354 4.3354 7.6508 73.54 73.54 60.00
Last column: nearest neighbours and their distance in Å.
Element x y z (fractional)
Bi 0.7530 0.7530 0.7411  3 Dy 3.15, 3 Nd 3.23
Nd 0.9923 0.9923 0.0230  3 As 3.03, 3 Bi 3.23
As 0.2470 0.2470 0.2589  3 Dy 2.96, 3 Nd 3.03
Dy 0.5077 0.5077 0.4770  3 As 2.96, 3 Bi 3.15

| no. | calculated density (Mg/m³) |
| --- | --- |
| 1 | 14.74 |
| 2 | 10.74 |
| 3 | 8.29 |
| 4 | 8.33 |